1.
This record from Alexandria describes KLaSnRu2 after structural relaxation. The functional is PBE.

Computed properties:
The energy relative to the elements comes out at 1.77 eV/atom.

a = 4.778 Å, b = 4.778 Å, c = 5.227 Å
α = 90.00°, β = 90.00°, γ = 90.00°
Space group P4/mmm (No. 123)
Asymmetric unit:
1 K 0.000 0.000 0.000 (multiplicity 1)
2 La 0.000 0.000 0.500 (multiplicity 1)
3 Sn 0.500 0.500 0.500 (multiplicity 1)
4 Ru 0.000 0.500 0.000 (multiplicity 2)


2.
This record from Alexandria describes LiCdAg2 after structural relaxation. The functional is PBE.

Computed properties:
The energy relative to the elements comes out at -0.14 eV/atom.

a = 9.871 Å, b = 3.270 Å, c = 4.694 Å
α = 90.00°, β = 106.84°, γ = 90.00°
Space group Cm (No. 8)
Asymmetric unit:
1 Li 0.000 0.000 0.000 (multiplicity 2)
2 Cd 0.255 0.500 0.273 (multiplicity 2)
3 Ag 0.008 0.500 0.512 (multiplicity 2)
4 Ag 0.258 0.000 0.776 (multiplicity 2)


3.
This record from Alexandria describes Sc2SiP after structural relaxation. The functional is PBE.

Computed properties:
The energy above the lowest structure with this stoichiometry is 251 meV/atom. The formation energy (no corrections) comes out at -0.90 eV per atom.

a = 3.812 Å, b = 3.812 Å, c = 5.374 Å
α = 90.00°, β = 90.00°, γ = 90.00°
Space group P4/mmm (No. 123)
Asymmetric unit:
1 Sc 0.000 0.000 0.000 (multiplicity 1)
2 Sc 0.500 0.500 0.500 (multiplicity 1)
3 Si 0.000 0.000 0.500 (multiplicity 1)
4 P 0.500 0.500 0.000 (multiplicity 1)


4.
This record from Alexandria describes TaPCl after structural relaxation. The functional is PBE.

Computed properties:
The energy above the lowest structure with this stoichiometry is 466 meV/atom. The formation energy (no corrections) comes out at -0.04 eV per atom.

a = 6.152 Å, b = 6.152 Å, c = 6.152 Å
α = 90.00°, β = 90.00°, γ = 90.00°
Space group F-43m (No. 216)
Asymmetric unit:
1 Ta 0.000 0.000 0.000 (multiplicity 4)
2 P 0.250 0.250 0.250 (multiplicity 4)
3 Cl 0.250 0.250 0.750 (multiplicity 4)


5.
This record from Alexandria describes Pm5Sb4Se after structural relaxation. The functional is PBE.

Computed properties:
The energy above the lowest structure with this stoichiometry is 0 meV/atom. The formation energy (no corrections) comes out at -1.33 eV per atom.

a = 9.923 Å, b = 9.923 Å, c = 6.290 Å
α = 90.00°, β = 90.00°, γ = 90.00°
Space group I4/m (No. 87)
Asymmetric unit:
1 Pm 0.000 0.000 0.000 (multiplicity 2)
2 Pm 0.100 0.705 0.500 (multiplicity 8)
3 Sb 0.098 0.700 0.000 (multiplicity 8)
4 Se 0.000 0.000 0.500 (multiplicity 2)


6.
This record from Alexandria describes B3PC after structural relaxation. The functional is PBE.

Computed properties:
The energy above the lowest structure with this stoichiometry is 131 meV/atom. The energy relative to the elements comes out at 0.38 eV/atom.

a = 2.571 Å, b = 3.329 Å, c = 5.472 Å
α = 98.73°, β = 98.10°, γ = 98.18°
Space group P1 (No. 1)
Asymmetric unit:
1 B 0.000 0.000 0.000 (multiplicity 1)
2 B 0.046 0.876 0.319 (multiplicity 1)
3 B 0.879 0.434 0.431 (multiplicity 1)
4 P 0.930 0.447 0.788 (multiplicity 1)
5 C 0.559 0.064 0.207 (multiplicity 1)


7.
This record from Alexandria describes TaAgPt2 after structural relaxation. The functional is PBE.

Computed properties:
The energy relative to the elements comes out at -0.44 eV/atom.

a = 2.903 Å, b = 2.903 Å, c = 7.918 Å
α = 90.00°, β = 90.00°, γ = 90.00°
Space group P4/mmm (No. 123)
Asymmetric unit:
1 Ta 0.000 0.000 0.000 (multiplicity 1)
2 Ag 0.000 0.000 0.500 (multiplicity 1)
3 Pt 0.500 0.500 0.236 (multiplicity 2)


8.
This record from Alexandria describes K2LaTc2N4 after structural relaxation. The functional is PBE.

Computed properties:
The formation energy (no corrections) comes out at -0.38 eV per atom.

a = 12.895 Å, b = 3.561 Å, c = 9.435 Å
α = 90.00°, β = 129.76°, γ = 90.00°
Space group C2/m (No. 12)
Asymmetric unit:
1 K 0.148 0.000 0.242 (multiplicity 4)
2 La 0.000 0.000 0.500 (multiplicity 2)
3 Tc 0.154 0.500 0.878 (multiplicity 4)
4 N 0.026 0.500 0.334 (multiplicity 4)
5 N 0.211 0.000 0.834 (multiplicity 4)


9.
This record from Alexandria describes CaCdPt2 after structural relaxation. The functional is PBE.

Computed properties:
The energy relative to the elements comes out at -0.42 eV/atom.

a = 6.752 Å, b = 6.752 Å, c = 6.752 Å
α = 90.00°, β = 90.00°, γ = 90.00°
Space group F-43m (No. 216)
Asymmetric unit:
1 Ca 0.000 0.000 0.000 (multiplicity 4)
2 Cd 0.250 0.250 0.750 (multiplicity 4)
3 Pt 0.000 0.000 0.500 (multiplicity 4)
4 Pt 0.250 0.250 0.250 (multiplicity 4)


10.
This record from Alexandria describes PrS6F2 after structural relaxation. The functional is PBE.

Computed properties:
The formation energy (no corrections) comes out at -1.07 eV per atom.

a = 8.804 Å, b = 13.214 Å, c = 3.926 Å
α = 90.00°, β = 95.76°, γ = 90.00°
Space group C2/m (No. 12)
Asymmetric unit:
1 Pr 0.000 0.000 0.000 (multiplicity 2)
2 S 0.134 0.372 0.002 (multiplicity 8)
3 S 0.169 0.500 0.728 (multiplicity 4)
4 F 0.000 0.099 0.500 (multiplicity 4)


11.
This record from Alexandria describes K4Ac3PmSe8 after structural relaxation. The functional is PBE.

Computed properties:
The formation energy (no corrections) comes out at -1.80 eV per atom.

a = 9.0383 Å, b = 9.0383 Å, c = 23.1693 Å
α = 90.00°, β = 90.00°, γ = 120.00°
Space group R-3m (No. 166, hexagonal axes)
Asymmetric unit:
1 K 0.0000 0.0000 0.0000 (multiplicity 3)
2 K 0.0000 0.5000 0.0000 (multiplicity 9)
3 Ac 0.0000 0.5000 0.5000 (multiplicity 9)
4 Pm 0.0000 0.0000 0.5000 (multiplicity 3)
5 Se 0.0000 0.0000 0.2401 (multiplicity 6)
6 Se 0.0114 0.5057 0.2380 (multiplicity 18)


12.
This record from Alexandria describes YWN3 after structural relaxation. The functional is PBE.

Computed properties:
The formation energy (no corrections) comes out at 2.04 eV per atom.

a = 4.150 Å, b = 4.150 Å, c = 4.150 Å
α = 90.00°, β = 90.00°, γ = 90.00°
Space group Pm-3m (No. 221)
Asymmetric unit:
1 Y 0.000 0.000 0.000 (multiplicity 1)
2 W 0.500 0.500 0.500 (multiplicity 1)
3 N 0.000 0.000 0.500 (multiplicity 3)


13.
This record from Alexandria describes MnAgHg2 after structural relaxation. The functional is PBE.

Computed properties:
The energy relative to the elements comes out at 0.24 eV/atom.

a = 9.985 Å, b = 3.184 Å, c = 5.079 Å
α = 90.00°, β = 102.80°, γ = 90.00°
Space group Cm (No. 8)
Asymmetric unit:
1 Mn 0.000 0.000 0.000 (multiplicity 2)
2 Ag 0.265 0.000 0.747 (multiplicity 2)
3 Hg 0.007 0.500 0.515 (multiplicity 2)
4 Hg 0.243 0.500 0.218 (multiplicity 2)


14.
This record from Alexandria describes CoSbCl2 after structural relaxation. The functional is PBE.

Computed properties:
The energy above the lowest structure with this stoichiometry is 59 meV/atom. The formation energy (no corrections) comes out at -0.20 eV per atom.

a = 3.3520 Å, b = 3.3520 Å, c = 29.2603 Å
α = 90.00°, β = 90.00°, γ = 120.00°
Space group R-3m (No. 166, hexagonal axes)
Asymmetric unit:
1 Co 0.0000 0.0000 0.0000 (multiplicity 3)
2 Sb 0.0000 0.0000 0.5000 (multiplicity 3)
3 Cl 0.0000 0.0000 0.3821 (multiplicity 6)


15.
This record from Alexandria describes LaRhBr2 after structural relaxation. The functional is PBE.

Computed properties:
The energy above the lowest structure with this stoichiometry is 65 meV/atom. The formation energy (no corrections) comes out at -1.07 eV per atom.

a = 11.608 Å, b = 3.882 Å, c = 5.630 Å
α = 90.00°, β = 92.52°, γ = 90.00°
Space group Cm (No. 8)
Asymmetric unit:
1 La 0.000 0.000 0.000 (multiplicity 2)
2 Rh 0.380 0.000 0.811 (multiplicity 2)
3 Br 0.004 0.500 0.456 (multiplicity 2)
4 Br 0.224 0.500 0.994 (multiplicity 2)


16.
This record from Alexandria describes Fe2SiNi after structural relaxation. The functional is PBE.

Computed properties:
The formation energy (no corrections) comes out at 0.16 eV per atom.

a = 6.425 Å, b = 6.425 Å, c = 4.815 Å
α = 90.00°, β = 90.00°, γ = 90.00°
Space group I-42d (No. 122)
Asymmetric unit:
1 Fe 0.243 0.250 0.125 (multiplicity 8)
2 Si 0.000 0.000 0.000 (multiplicity 4)
3 Ni 0.000 0.000 0.500 (multiplicity 4)


17.
This record from Alexandria describes TaTe2Se after structural relaxation. The functional is PBE.

Computed properties:
The formation energy (no corrections) comes out at 0.48 eV per atom.

a = 2.953 Å, b = 5.248 Å, c = 6.047 Å
α = 90.00°, β = 90.07°, γ = 90.00°
Space group P2/m (No. 10)
Asymmetric unit:
1 Ta 0.000 0.000 0.000 (multiplicity 1)
2 Te 0.001 0.500 0.759 (multiplicity 2)
3 Se 0.500 0.000 0.500 (multiplicity 1)


18.
This record from Alexandria describes Ce2Ga3NiPt12 after structural relaxation. The functional is PBE.

Computed properties:
The energy relative to the elements comes out at -0.40 eV/atom.

a = 7.9927 Å, b = 7.9927 Å, c = 19.3349 Å
α = 90.00°, β = 90.00°, γ = 120.00°
Space group R-3m (No. 166, hexagonal axes)
Asymmetric unit:
1 Ce 0.0000 0.0000 0.1320 (multiplicity 6)
2 Ga 0.0000 0.5000 0.0000 (multiplicity 9)
3 Ni 0.0000 0.0000 0.5000 (multiplicity 3)
4 Pt 0.0036 0.5018 0.8723 (multiplicity 18)
5 Pt 0.0134 0.5067 0.6228 (multiplicity 18)


19.
This record from Alexandria describes KRb2PdPb after structural relaxation. The functional is PBE.

Computed properties:
The energy relative to the elements comes out at -0.03 eV/atom.

a = 6.569 Å, b = 6.569 Å, c = 5.389 Å
α = 90.00°, β = 90.00°, γ = 90.00°
Space group P4/mmm (No. 123)
Asymmetric unit:
1 K 0.000 0.000 0.000 (multiplicity 1)
2 Rb 0.000 0.500 0.500 (multiplicity 2)
3 Pd 0.500 0.500 0.500 (multiplicity 1)
4 Pb 0.500 0.500 0.000 (multiplicity 1)


20.
This record from Alexandria describes SrMo2Se after structural relaxation. The functional is PBE.

Computed properties:
The formation energy (no corrections) comes out at 0.94 eV per atom.

a = 5.570 Å, b = 10.035 Å, c = 2.908 Å
α = 90.00°, β = 90.00°, γ = 90.00°
Space group Cmmm (No. 65)
Asymmetric unit:
1 Sr 0.000 0.000 0.000 (multiplicity 2)
2 Mo 0.250 0.250 0.500 (multiplicity 4)
3 Se 0.000 0.500 0.000 (multiplicity 2)


21.
This record from Alexandria describes Ba4PBr5 after structural relaxation. The functional is PBE.

Computed properties:
The formation energy (no corrections) comes out at -1.93 eV per atom.

a = 20.596 Å, b = 4.849 Å, c = 9.187 Å
α = 90.00°, β = 110.95°, γ = 90.00°
Space group C2/m (No. 12)
Asymmetric unit:
1 Ba 0.001 0.000 0.239 (multiplicity 4)
2 Ba 0.169 0.500 0.140 (multiplicity 4)
3 P 0.000 0.500 0.000 (multiplicity 2)
4 Br 0.000 0.500 0.500 (multiplicity 2)
5 Br 0.170 0.000 0.893 (multiplicity 4)
6 Br 0.171 0.000 0.373 (multiplicity 4)


22.
This record from Alexandria describes PrSmTmTh after structural relaxation. The functional is PBE.

Computed properties:
The energy above the lowest structure with this stoichiometry is 0 meV/atom. The energy relative to the elements comes out at 0.02 eV/atom.

a = 3.6112 Å, b = 3.6112 Å, c = 35.0168 Å
α = 90.00°, β = 90.00°, γ = 120.00°
Space group R3m (No. 160, hexagonal axes)
Asymmetric unit:
1 Pr 0.0000 0.0000 0.0000 (multiplicity 3)
2 Sm 0.0000 0.0000 0.2450 (multiplicity 3)
3 Tm 0.0000 0.0000 0.4178 (multiplicity 3)
4 Th 0.0000 0.0000 0.8306 (multiplicity 3)


23.
This record from Alexandria describes LaPmDyS3 after structural relaxation. The functional is PBE.

Computed properties:
The formation energy (no corrections) comes out at -1.98 eV per atom.

a = 6.953 Å, b = 3.945 Å, c = 10.548 Å
α = 90.00°, β = 102.52°, γ = 90.00°
Space group P2_1/m (No. 11)
Asymmetric unit:
1 La 0.151 0.250 0.196 (multiplicity 2)
2 Pm 0.374 0.250 0.867 (multiplicity 2)
3 Dy 0.268 0.750 0.555 (multiplicity 2)
4 S 0.047 0.250 0.655 (multiplicity 2)
5 S 0.221 0.750 0.005 (multiplicity 2)
6 S 0.449 0.750 0.349 (multiplicity 2)


24.
This record from Alexandria describes Mn2CdMo after structural relaxation. The functional is PBE.

Computed properties:
The energy relative to the elements comes out at 0.28 eV/atom.

a = 2.727 Å, b = 2.727 Å, c = 8.021 Å
α = 90.00°, β = 90.00°, γ = 90.00°
Space group P4mm (No. 99)
Asymmetric unit:
1 Mn 0.000 0.000 0.000 (multiplicity 1)
2 Mn 0.500 0.500 0.188 (multiplicity 1)
3 Cd 0.500 0.500 0.726 (multiplicity 1)
4 Mo 0.000 0.000 0.431 (multiplicity 1)


25.
This record from Alexandria describes Mn2BeP after structural relaxation. The functional is PBE.

Computed properties:
The energy above the lowest structure with this stoichiometry is 269 meV/atom. The energy relative to the elements comes out at -0.06 eV/atom.

a = 5.491 Å, b = 5.491 Å, c = 5.491 Å
α = 90.00°, β = 90.00°, γ = 90.00°
Space group F-43m (No. 216)
Asymmetric unit:
1 Mn 0.000 0.000 0.000 (multiplicity 4)
2 Mn 0.250 0.250 0.250 (multiplicity 4)
3 Be 0.250 0.250 0.750 (multiplicity 4)
4 P 0.000 0.000 0.500 (multiplicity 4)


26.
This record from Alexandria describes HfTiCdAg2 after structural relaxation. The functional is PBE.

Computed properties:
The energy relative to the elements comes out at 1.38 eV/atom.

a = 5.077 Å, b = 5.077 Å, c = 5.351 Å
α = 90.00°, β = 90.00°, γ = 90.00°
Space group P4/mmm (No. 123)
Asymmetric unit:
1 Hf 0.000 0.000 0.000 (multiplicity 1)
2 Ti 0.500 0.500 0.500 (multiplicity 1)
3 Cd 0.000 0.000 0.500 (multiplicity 1)
4 Ag 0.000 0.500 0.000 (multiplicity 2)


27.
This record from Alexandria describes NbCr2PbC after structural relaxation. The functional is PBE.

Computed properties:
The energy relative to the elements comes out at 2.75 eV/atom.

a = 4.472 Å, b = 4.472 Å, c = 5.503 Å
α = 90.00°, β = 90.00°, γ = 90.00°
Space group P4/mmm (No. 123)
Asymmetric unit:
1 Nb 0.000 0.000 0.000 (multiplicity 1)
2 Cr 0.000 0.500 0.000 (multiplicity 2)
3 Pb 0.000 0.000 0.500 (multiplicity 1)
4 C 0.500 0.500 0.500 (multiplicity 1)